(1)
# PBE NdTh3H, optimized geometry
data_NdTh3H
_cell_length_a 5.113
_cell_length_b 5.113
_cell_length_c 5.113
_cell_angle_alpha 90.00
_cell_angle_beta 90.00
_cell_angle_gamma 90.00
_space_group_name_H-M_alt 'P m -3 m'
_space_group_IT_number 221
_space_group_name_Hall '-P 4 2 3'
loop_
_atom_site_label
_atom_site_fract_x
_atom_site_fract_y
_atom_site_fract_z
Nd1 0.000 0.000 0.000
Th1 0.000 0.500 0.500
H1 0.500 0.500 0.500
# Mass density ... 10.45 g cm⁻³
# D(E_F) ... 7.74 states/eV/f.u.
# Total magnetic moment ... 0.00 μB per cell

---

(2)
# PBE Cd2FeNi2, optimized geometry
data_Cd2FeNi2
_cell_length_a 3.791
_cell_length_b 3.791
_cell_length_c 11.991
_cell_angle_alpha 90.00
_cell_angle_beta 90.00
_cell_angle_gamma 90.00
_space_group_name_H-M_alt 'I 4/m m m'
_space_group_IT_number 139
_space_group_name_Hall '-I 4 2'
loop_
_atom_site_label
_atom_site_fract_x
_atom_site_fract_y
_atom_site_fract_z
Cd1 0.000 0.500 0.250
Fe1 0.000 0.000 0.000
Ni1 0.000 0.000 0.408
# Mass density ... 7.67 g cm⁻³
# D(E_F) ... 4.91 states/eV/f.u.
# Total magnetic moment ... 7.89 μB per cell
# Energy relative to the elements ... 0.639 eV per atom

---

(3)
# PBE TcB2N, optimized geometry
data_TcB2N
_cell_length_a 4.810
_cell_length_b 4.810
_cell_length_c 6.104
_cell_angle_alpha 90.00
_cell_angle_beta 90.00
_cell_angle_gamma 90.00
_space_group_name_H-M_alt 'I -4 2 d'
_space_group_IT_number 122
_space_group_name_Hall 'I -4 2bw'
loop_
_atom_site_label
_atom_site_fract_x
_atom_site_fract_y
_atom_site_fract_z
Tc1 0.000 0.000 0.000
B1 0.140 0.750 0.625
N1 0.000 0.000 0.500
# ΔE_f (raw) ... 0.350 eV/atom
# Mass density ... 6.28 g cm⁻³
# D(E_F) ... 2.46 states/eV/f.u.
# Total magnetic moment ... 0.00 μB per cell

---

(4)
# PBE ZrZnTcAu2, optimized geometry
data_ZrZnTcAu2
_cell_length_a 4.591
_cell_length_b 4.591
_cell_length_c 4.939
_cell_angle_alpha 90.00
_cell_angle_beta 90.00
_cell_angle_gamma 90.00
_space_group_name_H-M_alt 'P 4/m m m'
_space_group_IT_number 123
_space_group_name_Hall '-P 4 2'
loop_
_atom_site_label
_atom_site_fract_x
_atom_site_fract_y
_atom_site_fract_z
Zr1 0.000 0.000 0.000
Zn1 0.000 0.000 0.500
Tc1 0.500 0.500 0.000
Au1 0.000 0.500 0.500
# Mass density ... 10.35 g cm⁻³
# D(E_F) ... 4.13 states/eV/f.u.
# Total magnetic moment ... 0.00 μB per cell
# Energy relative to the elements ... 0.975 eV per atom

---

(5)
# PBE Nd2MgB3Pt12, optimized geometry
data_Nd2MgB3Pt12
_cell_length_a 8.0221
_cell_length_b 8.0221
_cell_length_c 17.1006
_cell_angle_alpha 90.00
_cell_angle_beta 90.00
_cell_angle_gamma 120.00
_space_group_name_H-M_alt 'R -3 m'
_space_group_IT_number 166
_space_group_name_Hall '-R 3 2"'
loop_
_atom_site_label
_atom_site_fract_x
_atom_site_fract_y
_atom_site_fract_z
Nd1 0.0000 0.0000 0.1042
Mg1 0.0000 0.0000 0.5000
B1 0.0000 0.5000 0.0000
Pt1 0.0082 0.5041 0.8769
Pt2 0.0592 0.5296 0.3518
# Mass density ... 14.04 g cm⁻³
# D(E_F) ... 6.85 states/eV/f.u.
# Total magnetic moment ... 0.00 μB per cell
# Energy relative to the elements ... -0.453 eV per atom

---

(6)
# PBE Th2NiIr, optimized geometry
data_Th2NiIr
_cell_length_a 5.933
_cell_length_b 4.283
_cell_length_c 7.661
_cell_angle_alpha 90.00
_cell_angle_beta 109.76
_cell_angle_gamma 90.00
_space_group_name_H-M_alt 'P 1 21/m 1'
_space_group_IT_number 11
loop_
_space_group_symop_operation_xyz
'x,y,z'
'-x,-y,-z'
'-x,y+1/2,-z'
'x,-y+1/2,z'
loop_
_atom_site_label
_atom_site_fract_x
_atom_site_fract_y
_atom_site_fract_z
Th1 0.229 0.250 0.435
Th2 0.230 0.250 0.934
Ni1 0.316 0.750 0.704
Ir1 0.313 0.750 0.208
# Mass density ... 12.96 g cm⁻³
# D(E_F) ... 2.58 states/eV/f.u.
# Total magnetic moment ... 0.00 μB per cell
# Energy relative to the elements ... -0.741 eV per atom

---

no.,uncorrected energy (eV/cell)
1,-30.6
2,-37.3
3,-122.6
4,-21.9
5,-335.4
6,-64.9